(1)
First-principles (GGA-PBEsol) data for a geometry-optimized FeIr2 structure, as listed in Alexandria via LeMat-Bulk.

- formation enthalpy at 0 K (eV/atom) = -0.02

Structure (CIF):
```
data_FeIr2
_symmetry_space_group_name_H-M 'P -6 2 m'
_symmetry_Int_Tables_number 189
_symmetry_space_group_name_Hall 'P -6 -2'
_cell_length_a 7.1147
_cell_length_b 7.1147
_cell_length_c 2.6776
_cell_angle_alpha 90.00
_cell_angle_beta 90.00
_cell_angle_gamma 120.00
loop_
_atom_site_label
_atom_site_fract_x
_atom_site_fract_y
_atom_site_fract_z
Fe1 0.0000 0.0000 0.0000
Fe2 0.3333 0.6667 0.5000
Ir1 0.0000 0.3636 0.0000
Ir2 0.0000 0.7022 0.5000
```



(2)
First-principles (GGA-PBEsol) data for a geometry-optimized BePRh2 structure, as listed in Alexandria via LeMat-Bulk.

- formation enthalpy at 0 K (eV/atom) = -0.51

Structure (CIF):
```
data_BePRh2
_symmetry_space_group_name_H-M 'P m m 2'
_symmetry_Int_Tables_number 25
_symmetry_space_group_name_Hall 'P 2 -2'
_cell_length_a 2.936
_cell_length_b 3.049
_cell_length_c 5.288
_cell_angle_alpha 90.00
_cell_angle_beta 90.00
_cell_angle_gamma 90.00
loop_
_atom_site_label
_atom_site_fract_x
_atom_site_fract_y
_atom_site_fract_z
Be1 0.000 0.000 0.000
P1 0.500 0.500 0.259
Rh1 0.000 0.000 0.455
Rh2 0.500 0.500 0.828
```



(3)
First-principles (GGA-PBEsol) data for a geometry-optimized CdHg2Pb structure, as listed in Alexandria via LeMat-Bulk.

- formation enthalpy at 0 K (eV/atom) = 0.04

Structure (CIF):
```
data_CdHg2Pb
_symmetry_space_group_name_H-M 'P m m m'
_symmetry_Int_Tables_number 47
_symmetry_space_group_name_Hall '-P 2 2'
_cell_length_a 3.363
_cell_length_b 5.336
_cell_length_c 5.472
_cell_angle_alpha 90.00
_cell_angle_beta 90.00
_cell_angle_gamma 90.00
loop_
_atom_site_label
_atom_site_fract_x
_atom_site_fract_y
_atom_site_fract_z
Cd1 0.000 0.000 0.000
Hg1 0.000 0.500 0.500
Hg2 0.500 0.500 0.000
Pb1 0.500 0.000 0.500
```



(4)
First-principles (GGA-PBEsol) data for a geometry-optimized Na2FeO2 structure, as listed in Alexandria via LeMat-Bulk.

- formation energy without anion corrections (eV per atom) = -1.157

Structure (CIF):
```
data_Na2FeO2
_symmetry_space_group_name_H-M 'P 1 21/c 1'
_symmetry_Int_Tables_number 14
_symmetry_space_group_name_Hall '-P 2ybc'
_cell_length_a 7.837
_cell_length_b 5.968
_cell_length_c 5.651
_cell_angle_alpha 90.00
_cell_angle_beta 102.58
_cell_angle_gamma 90.00
loop_
_atom_site_label
_atom_site_fract_x
_atom_site_fract_y
_atom_site_fract_z
Na1 0.028 0.245 0.010
Na2 0.324 0.628 0.896
Fe1 0.366 0.107 0.861
O1 0.148 0.534 0.289
O2 0.466 0.137 0.218
```



(5)
First-principles (GGA-PBEsol) data for a geometry-optimized LaHgTe2 structure, as listed in Alexandria via LeMat-Bulk.

- formation energy without anion corrections (eV per atom) = -1.030

Structure (CIF):
```
data_LaHgTe2
_symmetry_space_group_name_H-M 'A m m 2'
_symmetry_Int_Tables_number 38
_symmetry_space_group_name_Hall 'A 2 -2'
_cell_length_a 4.488
_cell_length_b 4.268
_cell_length_c 12.276
_cell_angle_alpha 90.00
_cell_angle_beta 90.00
_cell_angle_gamma 90.00
loop_
_atom_site_label
_atom_site_fract_x
_atom_site_fract_y
_atom_site_fract_z
La1 0.000 0.000 0.000
Hg1 0.500 0.000 0.199
Te1 0.000 0.000 0.705
Te2 0.500 0.000 0.436
```



(6)
First-principles (GGA-PBEsol) data for a geometry-optimized YSbBr2 structure, as listed in Alexandria via LeMat-Bulk.

- formation energy without anion corrections (eV per atom) = -0.387
- excess energy over the best structure of this formula in the dataset (meV per atom) = 505

Structure (CIF):
```
data_YSbBr2
_symmetry_space_group_name_H-M 'R -3 m'
_symmetry_Int_Tables_number 166
_symmetry_space_group_name_Hall '-R 3 2"'
_cell_length_a 3.5591
_cell_length_b 3.5591
_cell_length_c 30.9365
_cell_angle_alpha 90.00
_cell_angle_beta 90.00
_cell_angle_gamma 120.00
loop_
_atom_site_label
_atom_site_fract_x
_atom_site_fract_y
_atom_site_fract_z
Y1 0.0000 0.0000 0.0000
Sb1 0.0000 0.0000 0.5000
Br1 0.0000 0.0000 0.0869
```



(7)
First-principles (GGA-PBEsol) data for a geometry-optimized Zr3AlAs structure, as listed in Alexandria via LeMat-Bulk.

- formation enthalpy at 0 K (eV/atom) = 0.57

Structure (CIF):
```
data_Zr3AlAs
_symmetry_space_group_name_H-M 'P m -3 m'
_symmetry_Int_Tables_number 221
_symmetry_space_group_name_Hall '-P 4 2 3'
_cell_length_a 4.897
_cell_length_b 4.897
_cell_length_c 4.897
_cell_angle_alpha 90.00
_cell_angle_beta 90.00
_cell_angle_gamma 90.00
loop_
_atom_site_label
_atom_site_fract_x
_atom_site_fract_y
_atom_site_fract_z
Zr1 0.000 0.000 0.500
Al1 0.000 0.000 0.000
As1 0.500 0.500 0.500
```



(8)
First-principles (GGA-PBEsol) data for a geometry-optimized CsCaReC2 structure, as listed in Alexandria via LeMat-Bulk.

- formation enthalpy at 0 K (eV/atom) = 1.62

Structure (CIF):
```
data_CsCaReC2
_symmetry_space_group_name_H-M 'P 4/m m m'
_symmetry_Int_Tables_number 123
_symmetry_space_group_name_Hall '-P 4 2'
_cell_length_a 4.161
_cell_length_b 4.161
_cell_length_c 5.340
_cell_angle_alpha 90.00
_cell_angle_beta 90.00
_cell_angle_gamma 90.00
loop_
_atom_site_label
_atom_site_fract_x
_atom_site_fract_y
_atom_site_fract_z
Cs1 0.000 0.000 0.000
Ca1 0.500 0.500 0.000
Re1 0.000 0.000 0.500
C1 0.000 0.500 0.500
```



(9)
First-principles (GGA-PBEsol) data for a geometry-optimized Ta2BiMoAu structure, as listed in Alexandria via LeMat-Bulk.

- formation enthalpy at 0 K (eV/atom) = 2.12

Structure (CIF):
```
data_Ta2BiMoAu
_symmetry_space_group_name_H-M 'P 4/m m m'
_symmetry_Int_Tables_number 123
_symmetry_space_group_name_Hall '-P 4 2'
_cell_length_a 4.879
_cell_length_b 4.879
_cell_length_c 5.291
_cell_angle_alpha 90.00
_cell_angle_beta 90.00
_cell_angle_gamma 90.00
loop_
_atom_site_label
_atom_site_fract_x
_atom_site_fract_y
_atom_site_fract_z
Ta1 0.000 0.500 0.000
Bi1 0.000 0.000 0.500
Mo1 0.500 0.500 0.500
Au1 0.000 0.000 0.000
```



(10)
First-principles (GGA-PBEsol) data for a geometry-optimized CaTc structure, as listed in Alexandria via LeMat-Bulk.

- formation enthalpy at 0 K (eV/atom) = 0.27
- excess energy over the best structure of this formula in the dataset (meV per atom) = 0

Structure (CIF):
```
data_CaTc
_symmetry_space_group_name_H-M 'R -3 m'
_symmetry_Int_Tables_number 166
_symmetry_space_group_name_Hall '-R 3 2"'
_cell_length_a 4.0460
_cell_length_b 4.0460
_cell_length_c 23.6331
_cell_angle_alpha 90.00
_cell_angle_beta 90.00
_cell_angle_gamma 120.00
loop_
_atom_site_label
_atom_site_fract_x
_atom_site_fract_y
_atom_site_fract_z
Ca1 0.0000 0.0000 0.0907
Tc1 0.0000 0.0000 0.3401
```



(11)
First-principles (GGA-PBEsol) data for a geometry-optimized Cr2CdRu structure, as listed in Alexandria via LeMat-Bulk.

- formation enthalpy at 0 K (eV/atom) = 0.60

Structure (CIF):
```
data_Cr2CdRu
_symmetry_space_group_name_H-M 'P 4/m m m'
_symmetry_Int_Tables_number 123
_symmetry_space_group_name_Hall '-P 4 2'
_cell_length_a 3.761
_cell_length_b 3.761
_cell_length_c 3.830
_cell_angle_alpha 90.00
_cell_angle_beta 90.00
_cell_angle_gamma 90.00
loop_
_atom_site_label
_atom_site_fract_x
_atom_site_fract_y
_atom_site_fract_z
Cr1 0.000 0.500 0.000
Cd1 0.000 0.000 0.500
Ru1 0.500 0.500 0.500
```



(12)
First-principles (GGA-PBEsol) data for a geometry-optimized SrZnAs3 structure, as listed in Alexandria via LeMat-Bulk.

- formation enthalpy at 0 K (eV/atom) = 1.16

Structure (CIF):
```
data_SrZnAs3
_symmetry_space_group_name_H-M 'P m -3 m'
_symmetry_Int_Tables_number 221
_symmetry_space_group_name_Hall '-P 4 2 3'
_cell_length_a 5.500
_cell_length_b 5.500
_cell_length_c 5.500
_cell_angle_alpha 90.00
_cell_angle_beta 90.00
_cell_angle_gamma 90.00
loop_
_atom_site_label
_atom_site_fract_x
_atom_site_fract_y
_atom_site_fract_z
Sr1 0.000 0.000 0.000
Zn1 0.500 0.500 0.500
As1 0.000 0.000 0.500
```